## Ti2Cr2In (PBE)

Data for a relaxed Ti2Cr2In crystal.

The calculation puts the energy of formation at 0.33 eV/f.u. As for the calculated volume: 15.83 A^3/atom.

It has space group P4/mbm (No. 127), with a = 7.1167 Å, b = 7.1167 Å, c = 3.1260 Å, α = 90.00°, β = 90.00° and γ = 90.00°. The distinct sites, in fractional coordinates, are Ti at (0.1942, 0.3058, 0.0000), Cr at (0.0986, 0.5986, 0.5000) and In at (0.0000, 0.0000, 0.5000).

## Al2InMo (PBE)

Data for a relaxed Al2InMo crystal.

The calculation puts the energy of formation at 0.17 eV/f.u. As for the calculated volume: 17.40 A^3/atom.

It has space group P4mm (No. 99), with a = 3.5230 Å, b = 3.5230 Å, c = 5.6064 Å, α = 90.00°, β = 90.00° and γ = 90.00°. The distinct sites, in fractional coordinates, are Al at (0.0000, 0.0000, 0.0000), Al at (0.5000, 0.5000, 0.2532), In at (0.0000, 0.0000, 0.5142) and Mo at (0.5000, 0.5000, 0.7852).